Sc2BeSb after structural relaxation. Source: Alexandria, functional PBE.

Cell and atoms, written as CIF:
```
data_Sc2BeSb
_symmetry_space_group_name_H-M 'F -4 3 m'
_symmetry_Int_Tables_number 216
_symmetry_space_group_name_Hall 'F -4 2 3'
_cell_length_a 6.812
_cell_length_b 6.812
_cell_length_c 6.812
_cell_angle_alpha 90.00
_cell_angle_beta 90.00
_cell_angle_gamma 90.00
loop_
_atom_site_label
_atom_site_fract_x
_atom_site_fract_y
_atom_site_fract_z
Sc1 0.000 0.000 0.000
Sc2 0.250 0.250 0.250
Be1 0.000 0.000 0.500
Sb1 0.250 0.250 0.750
```

Values from the calculation:
Its mass density is 4.64 g cm⁻³. The value obtained for the total moment is 0.00 μB/cell. The uncorrected formation energy is 222 meV/atom.